The following is a DFT calculation (GGA-PBE) of Cs3Ag2HgBr8 after structural relaxation.

a b c (Å): 7.8405 7.8405 10.4838
angles (deg): 90.00 90.00 120.00
Fractional positions:
1 Cs 0.0000 0.0000 0.0000
2 Cs 0.3333 0.6667 0.6232
3 Cs 0.6667 0.3333 0.3768
4 Ag 0.3333 0.6667 0.1991
5 Ag 0.6667 0.3333 0.8009
6 Hg 0.0000 0.0000 0.5000
7 Br 0.1635 0.3270 0.3326
8 Br 0.1635 0.8365 0.3326
9 Br 0.3270 0.1635 0.6674
10 Br 0.3333 0.6667 0.9585
11 Br 0.6667 0.3333 0.0415
12 Br 0.6730 0.8365 0.3326
13 Br 0.8365 0.1635 0.6674
14 Br 0.8365 0.6730 0.6674


The following is a DFT calculation (GGA-PBE) of Cs3AgHg2Br9 after structural relaxation.

a b c (Å): 7.9343 7.9343 9.7233
angles (deg): 90.00 90.00 120.00
Fractional positions:
1 Cs 0.0000 0.0000 0.0000
2 Cs 0.3333 0.6667 0.6646
3 Cs 0.6667 0.3333 0.3354
4 Ag 0.0000 0.0000 0.5000
5 Hg 0.3333 0.6667 0.1733
6 Hg 0.6667 0.3333 0.8267
7 Br 0.0000 0.5000 0.0000
8 Br 0.1645 0.3291 0.3355
9 Br 0.1645 0.8355 0.3355
10 Br 0.3291 0.1645 0.6645
11 Br 0.5000 0.0000 0.0000
12 Br 0.5000 0.5000 0.0000
13 Br 0.6709 0.8355 0.3355
14 Br 0.8355 0.1645 0.6645
15 Br 0.8355 0.6709 0.6645


Number 1: V 558 Å³/cell, raw formation energy -937 meV/atom, total magnetic moment 0.00 μB/f.u.. Number 2: V 530 Å³/cell, raw formation energy -946 meV/atom, total magnetic moment 0.00 μB/f.u..